Sm5TmMg6 (PBE, relaxed); density of states at the Fermi level = 14.37 states/eV/f.u.; formation energy = -1.13 eV/f.u.
1.0
-2.186 -1.747 -4.637
7.007 -1.320 -2.805
-1.333 -8.444 0.642
Sm Mg Tm
5 6 1
Cartesian
1.159 -7.427 -4.074
3.503 -0.660 -1.403
-1.173 -3.369 -1.345
2.329 -4.083 -2.726
-2.346 -6.821 -2.650
0.645 -1.201 -3.015
2.842 -10.309 -3.786
0.472 -6.270 -1.021
4.030 -6.940 -2.445
-0.543 -4.570 -4.355
3.015 -5.240 -5.780
0.000 0.000 0.000